Record 1
Compound: Al2SnHgRu
Source: Alexandria
Functional: PBE-GGA
Structure: optimized geometry

- ρ: 6.45 g/cm3
- Total DFT energy (no corrections): -3.17 eV per atom
- Magnetic moment: 1.36 μB per formula unit
- DFT formation energy: 1.046 eV per atom

Cell and atoms, written as CIF:
```
data_Al2SnHgRu
_symmetry_space_group_name_H-M 'P 4/m m m'
_symmetry_Int_Tables_number 123
_symmetry_space_group_name_Hall '-P 4 2'
_cell_length_a 4.828
_cell_length_b 4.828
_cell_length_c 5.240
_cell_angle_alpha 90.00
_cell_angle_beta 90.00
_cell_angle_gamma 90.00
loop_
_atom_site_label
_atom_site_fract_x
_atom_site_fract_y
_atom_site_fract_z
Al1 0.000 0.500 0.000
Sn1 0.000 0.000 0.500
Hg1 0.500 0.500 0.000
Ru1 0.500 0.500 0.500
```

Record 2
Compound: AlSiTe2
Source: Alexandria
Functional: PBE-GGA
Structure: optimized geometry

- ρ: 5.33 g/cm3
- Total DFT energy (no corrections): -3.35 eV per atom
- Magnetic moment: 0.00 μB per formula unit

Cell and atoms, written as CIF:
```
data_AlSiTe2
_symmetry_space_group_name_H-M 'R -3 m'
_symmetry_Int_Tables_number 166
_symmetry_space_group_name_Hall '-R 3 2"'
_cell_length_a 3.1585
_cell_length_b 3.1585
_cell_length_c 33.5413
_cell_angle_alpha 90.00
_cell_angle_beta 90.00
_cell_angle_gamma 120.00
loop_
_atom_site_label
_atom_site_fract_x
_atom_site_fract_y
_atom_site_fract_z
Al1 0.0000 0.0000 0.0000
Si1 0.0000 0.0000 0.5000
Te1 0.0000 0.0000 0.0850
```